Entry 1:
# Cs3LiCu2F6

A relaxed structure of Cs3LiCu2F6 (PBE, Alexandria).

Cell lengths 6.3443, 6.3443, 7.4335 Å; angles 90.00, 90.00, 120.00 degrees
With the nearest neighbours (Å) after each atom.
Positions (direct):
F (0.6866, 0.8433, 0.3170)  1 Cu 1.96, 1 Li 2.19
Li (0.0000, 0.0000, 0.5000)  6 F 2.19
F (0.1567, 0.3134, 0.3170)  1 Cu 1.96, 1 Li 2.19
Cs (0.0000, 0.0000, 0.0000)  6 F 2.92
F (0.8433, 0.6866, 0.6830)  1 Cu 1.96, 1 Li 2.19
Cs (0.3333, 0.6667, 0.6936)  1 Cu 3.09, 9 F 3.18-3.41
Cu (0.3333, 0.6667, 0.2783)  3 F 1.96
Cu (0.6667, 0.3333, 0.7217)  3 F 1.96
F (0.3134, 0.1567, 0.6830)  1 Cu 1.96, 1 Li 2.19
F (0.8433, 0.1567, 0.6830)  1 Cu 1.96, 1 Li 2.19
Cs (0.6667, 0.3333, 0.3064)  1 Cu 3.09, 9 F 3.18-3.41
F (0.1567, 0.8433, 0.3170)  1 Cu 1.96, 1 Li 2.19

Summary:
**Raw total energy**: -48.72 eV for the cell shown
**Spin magnetization**: 0.23 Bohr magnetons per cell
**Raw formation energy**: -2069.0 meV/atom

***

Entry 2:
# AcCuPt3

A relaxed structure of AcCuPt3 (PBE, Alexandria).

Cell lengths 5.4315, 8.6607, 6.7851 Å; angles 129.66, 113.59, 90.00 degrees
With the nearest neighbours (Å) after each atom.
Positions (direct):
Pt (0.2500, 0.9067, 0.5000)  2 Cu 2.61, 4 Pt 2.73
Cu (0.5000, 0.0000, 0.0000)  6 Pt 2.56-2.61
Pt (0.7489, 0.2489, 0.9977)  2 Cu 2.56, 4 Pt 2.72-2.73
Pt (0.2511, 0.7511, 0.0023)  2 Cu 2.56, 4 Pt 2.72-2.73
Pt (0.2489, 0.2489, 0.9977)  2 Cu 2.56, 4 Pt 2.72-2.73
Pt (0.7500, 0.0933, 0.5000)  2 Cu 2.61, 4 Pt 2.73
Pt (0.7511, 0.7511, 0.0023)  2 Cu 2.56, 4 Pt 2.72-2.73
Ac (0.2500, 0.2898, 0.5000)  7 Pt 3.19-3.32, 4 Cu 3.53
Cu (0.0000, 0.5000, 0.0000)  6 Pt 2.56-2.61
Ac (0.7500, 0.7102, 0.5000)  7 Pt 3.19-3.32, 4 Cu 3.53

Summary:
**Raw total energy**: -59.42 eV for the cell shown
**Spin magnetization**: 0.00 Bohr magnetons per cell

***

Entry 3:
# KPaSn

A relaxed structure of KPaSn (PBE, Alexandria).

Cell lengths 3.3241, 3.3227, 18.8958 Å; angles 90.00, 90.00, 120.01 degrees
With the nearest neighbours (Å) after each atom.
Positions (direct):
Pa (0.6189, 0.2379, 0.3589)  3 Sn 3.28-3.29, 6 Pa 3.32
K (0.2699, 0.5397, 0.8364)  6 K 3.32, 3 Sn 3.64
Pa (0.6189, 0.2379, 0.6411)  3 Sn 3.28-3.29, 6 Pa 3.32
K (0.2699, 0.5397, 0.1636)  6 K 3.32, 3 Sn 3.64
Sn (0.6029, 0.2059, 0.0000)  6 Sn 3.32, 6 K 3.64
Sn (0.2861, 0.5722, 0.5000)  6 Pa 3.28-3.29, 6 Sn 3.32

Summary:
**Raw total energy**: -27.48 eV for the cell shown
**Spin magnetization**: 0.00 Bohr magnetons per cell

***

> What is the raw total energy in the second record?

-59.42 eV for the cell shown